Entry 1:
Y3Sc3NiTe2 | GGA-PBE | relaxed

Lattice parameters (Å, degrees): 8.188 8.188 3.767 90.00 90.00 120.00
Positions (direct):
1 Ni 0.000 0.000 0.000
2 Sc 0.401 0.000 0.000
3 Sc 0.000 0.401 0.000
4 Sc 0.599 0.599 0.000
5 Te 0.667 0.333 0.500
6 Te 0.333 0.667 0.500
7 Y 0.754 0.000 0.500
8 Y 0.246 0.246 0.500
9 Y 0.000 0.754 0.500

## Properties
Total DFT energy (no corrections) = -6.208 eV/atom

Entry 2:
ZnPH4NO4 | GGA-PBE | relaxed

Lattice parameters (Å, degrees): 10.602 10.602 8.488 90.00 90.00 120.00
Positions (direct):
1 H 0.000 0.000 0.125
2 H 0.127 0.530 0.186
3 H 0.470 0.597 0.186
4 H 0.403 0.873 0.186
5 H 0.415 0.418 0.192
6 H 0.004 0.585 0.192
7 H 0.582 0.996 0.192
8 H 0.452 0.030 0.273
9 H 0.970 0.422 0.273
10 H 0.578 0.548 0.273
11 H 0.070 0.103 0.292
12 H 0.033 0.930 0.292
13 H 0.897 0.967 0.292
14 H 0.411 0.502 0.360
15 H 0.091 0.589 0.360
16 H 0.498 0.909 0.360
17 H 0.000 0.000 0.625
18 H 0.597 0.127 0.686
19 H 0.530 0.403 0.686
20 H 0.873 0.470 0.686
21 H 0.418 0.004 0.692
22 H 0.996 0.415 0.692
23 H 0.585 0.582 0.692
24 H 0.422 0.452 0.773
25 H 0.030 0.578 0.773
26 H 0.548 0.970 0.773
27 H 0.103 0.033 0.792
28 H 0.967 0.070 0.792
29 H 0.930 0.897 0.792
30 H 0.502 0.091 0.860
31 H 0.909 0.411 0.860
32 H 0.589 0.498 0.860
33 N 0.000 0.000 0.246
34 N 0.469 0.515 0.256
35 N 0.046 0.531 0.256
36 N 0.485 0.954 0.256
37 N 0.000 0.000 0.746
38 N 0.515 0.046 0.756
39 N 0.954 0.469 0.756
40 N 0.531 0.485 0.756
41 O 0.224 0.514 0.038
42 O 0.486 0.710 0.038
43 O 0.290 0.776 0.038
44 O 0.722 0.024 0.079
45 O 0.302 0.278 0.079
46 O 0.976 0.698 0.079
47 O 0.316 0.083 0.237
48 O 0.917 0.232 0.237
49 O 0.768 0.684 0.237
50 O 0.667 0.333 0.293
51 O 0.176 0.204 0.464
52 O 0.028 0.824 0.464
53 O 0.796 0.972 0.464
54 O 0.285 0.475 0.495
55 O 0.190 0.715 0.495
56 O 0.525 0.810 0.495
57 O 0.710 0.224 0.538
58 O 0.514 0.290 0.538
59 O 0.776 0.486 0.538
60 O 0.024 0.302 0.579
61 O 0.698 0.722 0.579
62 O 0.278 0.976 0.579
63 O 0.232 0.316 0.737
64 O 0.083 0.768 0.737
65 O 0.684 0.917 0.737
66 O 0.333 0.667 0.793
67 O 0.204 0.028 0.964
68 O 0.972 0.176 0.964
69 O 0.824 0.796 0.964
70 O 0.475 0.190 0.995
71 O 0.810 0.285 0.995
72 O 0.715 0.525 0.995
73 P 0.325 0.145 0.070
74 P 0.855 0.179 0.070
75 P 0.821 0.675 0.070
76 P 0.667 0.333 0.471
77 P 0.179 0.325 0.570
78 P 0.145 0.821 0.570
79 P 0.675 0.855 0.570
80 P 0.333 0.667 0.971
81 Zn 0.667 0.333 0.070
82 Zn 0.325 0.149 0.453
83 Zn 0.851 0.176 0.453
84 Zn 0.824 0.675 0.453
85 Zn 0.333 0.667 0.570
86 Zn 0.176 0.325 0.953
87 Zn 0.149 0.824 0.953
88 Zn 0.675 0.851 0.953

## Properties
Total DFT energy (no corrections) = -5.724 eV/atom

Entry 3:
DyLuTlC | GGA-PBE | relaxed

Lattice parameters (Å, degrees): 3.569 3.569 16.113 90.00 90.00 120.00
Positions (direct):
1 C 0.000 0.000 0.000
2 C 0.000 0.000 0.500
3 Dy 0.333 0.667 0.085
4 Dy 0.667 0.333 0.915
5 Lu 0.333 0.667 0.420
6 Lu 0.667 0.333 0.580
7 Tl 0.667 0.333 0.253
8 Tl 0.333 0.667 0.747

## Properties
Total DFT energy (no corrections) = -5.579 eV/atom

Entry 4:
Li4TlSnAu2 | GGA-PBE | relaxed

Lattice parameters (Å, degrees): 4.638 4.638 6.550 90.00 90.00 90.00
Positions (direct):
1 Au 0.000 0.500 0.263
2 Au 0.500 0.000 0.737
3 Li 0.000 0.000 0.000
4 Li 0.500 0.000 0.249
5 Li 0.500 0.500 0.500
6 Li 0.000 0.500 0.751
7 Sn 0.000 0.000 0.500
8 Tl 0.500 0.500 0.000

## Properties
Total DFT energy (no corrections) = -3.015 eV/atom